# 1
First-principles (SCAN) data for a PBEsol-optimized structure of RbPRu3, as listed in Alexandria.

Unit cell a=4.5925 b=4.5925 c=4.5925 alpha=90.00 beta=90.00 gamma=90.00
Closest atoms and distances in Å follow each position.
Sites, in units of the cell vectors:
1 Rb 0.0000 0.0000 0.0000  6 Ru 2.30
2 P 0.5000 0.5000 0.5000  12 Ru 3.25
3 Ru 0.0000 0.5000 0.0000  2 Rb 2.30
4 Ru 0.0000 0.0000 0.5000  2 Rb 2.30
5 Ru 0.5000 0.0000 0.0000  2 Rb 2.30

Calculated values
The crystal system is cubic. Its formation energy is 17.5 eV/f.u. Its electronic total energy is -23.63 eV/atom.

---

# 2
First-principles (SCAN) data for a PBEsol-optimized structure of RbP2Ru2, as listed in Alexandria.

Unit cell a=4.0041 b=4.0041 c=7.0091 alpha=106.60 beta=106.60 gamma=90.00
Closest atoms and distances in Å follow each position.
Sites, in units of the cell vectors:
1 Ru 0.7500 0.2500 0.5000  4 P 2.29
2 Ru 0.2500 0.7500 0.5000  4 P 2.29
3 Rb 0.0000 0.0000 0.0000  8 P 3.52, 8 Ru 3.78
4 P 0.3371 0.3371 0.6741  4 Ru 2.29
5 P 0.6629 0.6629 0.3259  4 Ru 2.29

Calculated values
The crystal system is tetragonal. Its formation energy is -3.6 eV/f.u. Its electronic total energy is -22.95 eV/atom.

---

# 3
First-principles (SCAN) data for a PBEsol-optimized structure of RbPRuS2, as listed in Alexandria.

Unit cell a=5.1700 b=5.1472 c=5.1472 alpha=90.00 beta=90.00 gamma=90.00
Closest atoms and distances in Å follow each position.
Sites, in units of the cell vectors:
1 S 0.0000 0.5000 0.0000  2 Rb 2.57
2 S 0.0000 0.0000 0.5000  2 Rb 2.57
3 P 0.5000 0.0000 0.0000  2 Rb 2.59
4 Rb 0.0000 0.0000 0.0000  4 S 2.57, 2 P 2.59
5 Ru 0.5000 0.5000 0.5000  4 P 3.64, 8 S 3.65

Calculated values
The crystal system is tetragonal. Its electronic total energy is -14.75 eV/atom.

---

- Which of these has the highest electronic total energy?
  RbPRuS2